Entry 1:
This record from the Alexandria database describes a relaxed LaSc2Co crystal. The functional is GGA-PBE.

The structure in CIF format:
```
data_LaSc2Co
_cell_length_a 3.273
_cell_length_b 4.600
_cell_length_c 5.662
_cell_angle_alpha 90.00
_cell_angle_beta 90.00
_cell_angle_gamma 90.00
_space_group_name_H-M_alt 'P 1'
_space_group_IT_number 1
loop_
_space_group_symop_operation_xyz
'x,y,z'
loop_
_atom_site_label
_atom_site_type_symbol
_atom_site_fract_x
_atom_site_fract_y
_atom_site_fract_z
La1 La 0.500 0.500 0.750
Co1 Co 0.500 0.500 0.250
Sc1 Sc 0.000 0.000 0.476
Sc2 Sc 0.000 0.000 0.024
```

Computed properties:
Space-group type: No. 47
DFT total energy (eV per atom): -5.928
Energy above the most stable polymorph in this dataset (kJ/mol of atoms): 37.56

---

Entry 2:
This record from the Alexandria database describes a relaxed LaSc2Co crystal. The functional is GGA-PBE.

The structure in CIF format:
```
data_LaSc2Co
_cell_length_a 3.515
_cell_length_b 6.192
_cell_length_c 8.938
_cell_angle_alpha 90.00
_cell_angle_beta 90.00
_cell_angle_gamma 106.46
_space_group_name_H-M_alt 'P 1'
_space_group_IT_number 1
loop_
_space_group_symop_operation_xyz
'x,y,z'
loop_
_atom_site_label
_atom_site_type_symbol
_atom_site_fract_x
_atom_site_fract_y
_atom_site_fract_z
Sc1 Sc 0.150 0.300 0.427
Sc2 Sc 0.850 0.700 0.573
Sc3 Sc 0.150 0.300 0.073
Sc4 Sc 0.850 0.700 0.927
La1 La 0.427 0.854 0.250
La2 La 0.573 0.146 0.750
Co1 Co 0.255 0.510 0.750
Co2 Co 0.745 0.490 0.250
```

Computed properties:
Space-group type: No. 63
DFT total energy (eV per atom): -6.317
Energy above the most stable polymorph in this dataset (kJ/mol of atoms): 0.00

---

Entry 3:
This record from the Alexandria database describes a relaxed La2ScCo crystal. The functional is GGA-PBE.

The structure in CIF format:
```
data_La2ScCo
_cell_length_a 8.331
_cell_length_b 8.331
_cell_length_c 6.658
_cell_angle_alpha 51.27
_cell_angle_beta 51.27
_cell_angle_gamma 90.00
_space_group_name_H-M_alt 'P 1'
_space_group_IT_number 1
loop_
_space_group_symop_operation_xyz
'x,y,z'
loop_
_atom_site_label
_atom_site_type_symbol
_atom_site_fract_x
_atom_site_fract_y
_atom_site_fract_z
La1 La 0.699 0.125 0.250
La2 La 0.051 0.625 0.250
La3 La 0.375 0.301 0.750
La4 La 0.875 0.949 0.750
Co1 Co 0.000 0.000 0.000
Co2 Co 0.750 0.250 0.500
Sc1 Sc 0.500 0.500 0.000
Sc2 Sc 0.250 0.750 0.500
```

Computed properties:
Space-group type: No. 122
DFT total energy (eV per atom): -5.661
Energy above the most stable polymorph in this dataset (kJ/mol of atoms): 18.07

---

Entry 4:
This record from the Alexandria database describes a relaxed La2ScCo crystal. The functional is GGA-PBE.

The structure in CIF format:
```
data_La2ScCo
_cell_length_a 6.156
_cell_length_b 6.156
_cell_length_c 6.156
_cell_angle_alpha 139.19
_cell_angle_beta 139.19
_cell_angle_gamma 59.08
_space_group_name_H-M_alt 'P 1'
_space_group_IT_number 1
loop_
_space_group_symop_operation_xyz
'x,y,z'
loop_
_atom_site_label
_atom_site_type_symbol
_atom_site_fract_x
_atom_site_fract_y
_atom_site_fract_z
Co1 Co 0.750 0.250 0.500
La1 La 0.000 0.000 0.000
La2 La 0.250 0.750 0.500
Sc1 Sc 0.500 0.500 0.000
```

Computed properties:
Space-group type: No. 119
DFT total energy (eV per atom): -5.547
Energy above the most stable polymorph in this dataset (kJ/mol of atoms): 29.06

---

Entry 5:
This record from the Alexandria database describes a relaxed LaSc2Co crystal. The functional is GGA-PBE.

The structure in CIF format:
```
data_LaSc2Co
_cell_length_a 8.924
_cell_length_b 8.924
_cell_length_c 8.924
_cell_angle_alpha 23.41
_cell_angle_beta 23.41
_cell_angle_gamma 23.41
_space_group_name_H-M_alt 'P 1'
_space_group_IT_number 1
loop_
_space_group_symop_operation_xyz
'x,y,z'
loop_
_atom_site_label
_atom_site_type_symbol
_atom_site_fract_x
_atom_site_fract_y
_atom_site_fract_z
Sc1 Sc 0.228 0.228 0.228
Sc2 Sc 0.994 0.994 0.994
Co1 Co 0.505 0.505 0.505
La1 La 0.774 0.774 0.774
```

Computed properties:
Space-group type: No. 160
DFT total energy (eV per atom): -6.077
Energy above the most stable polymorph in this dataset (kJ/mol of atoms): 23.16

---

Entry 6:
This record from the Alexandria database describes a relaxed LaSc4Co crystal. The functional is GGA-PBE.

The structure in CIF format:
```
data_LaSc4Co
_cell_length_a 5.942
_cell_length_b 5.942
_cell_length_c 5.942
_cell_angle_alpha 60.00
_cell_angle_beta 60.00
_cell_angle_gamma 60.00
_space_group_name_H-M_alt 'P 1'
_space_group_IT_number 1
loop_
_space_group_symop_operation_xyz
'x,y,z'
loop_
_atom_site_label
_atom_site_type_symbol
_atom_site_fract_x
_atom_site_fract_y
_atom_site_fract_z
La1 La 0.000 0.000 0.000
Sc1 Sc 0.376 0.872 0.376
Sc2 Sc 0.872 0.376 0.376
Sc3 Sc 0.376 0.376 0.872
Sc4 Sc 0.376 0.376 0.376
Co1 Co 0.750 0.750 0.750
```

Computed properties:
Space-group type: No. 216
DFT total energy (eV per atom): -5.666

---

Entry 7:
This record from the Alexandria database describes a relaxed LaSc2Co9 crystal. The functional is GGA-PBE.

The structure in CIF format:
```
data_LaSc2Co9
_cell_length_a 4.935
_cell_length_b 4.935
_cell_length_c 8.462
_cell_angle_alpha 73.05
_cell_angle_beta 73.05
_cell_angle_gamma 60.00
_space_group_name_H-M_alt 'P 1'
_space_group_IT_number 1
loop_
_space_group_symop_operation_xyz
'x,y,z'
loop_
_atom_site_label
_atom_site_type_symbol
_atom_site_fract_x
_atom_site_fract_y
_atom_site_fract_z
Co1 Co 0.336 0.336 0.993
Co2 Co 0.079 0.589 0.743
Co3 Co 0.411 0.411 0.257
Co4 Co 0.589 0.079 0.743
Co5 Co 0.411 0.921 0.257
Co6 Co 0.500 0.500 0.500
Co7 Co 0.664 0.664 0.007
Co8 Co 0.589 0.589 0.743
Co9 Co 0.921 0.411 0.257
Sc1 Sc 0.858 0.858 0.426
Sc2 Sc 0.142 0.142 0.574
La1 La 0.000 0.000 0.000
```

Computed properties:
Space-group type: No. 166
DFT total energy (eV per atom): -6.992

---

Entry 8:
This record from the Alexandria database describes a relaxed La2ScCo crystal. The functional is GGA-PBE.

The structure in CIF format:
```
data_La2ScCo
_cell_length_a 9.241
_cell_length_b 9.241
_cell_length_c 9.241
_cell_angle_alpha 23.58
_cell_angle_beta 23.58
_cell_angle_gamma 23.58
_space_group_name_H-M_alt 'P 1'
_space_group_IT_number 1
loop_
_space_group_symop_operation_xyz
'x,y,z'
loop_
_atom_site_label
_atom_site_type_symbol
_atom_site_fract_x
_atom_site_fract_y
_atom_site_fract_z
La1 La 0.479 0.479 0.479
La2 La 0.021 0.021 0.021
Sc1 Sc 0.250 0.250 0.250
Co1 Co 0.750 0.750 0.750
```

Computed properties:
Space-group type: No. 166
DFT total energy (eV per atom): -5.720
Energy above the most stable polymorph in this dataset (kJ/mol of atoms): 12.33

---

Entry 9:
This record from the Alexandria database describes a relaxed La2ScCo crystal. The functional is GGA-PBE.

The structure in CIF format:
```
data_La2ScCo
_cell_length_a 5.262
_cell_length_b 5.260
_cell_length_c 3.685
_cell_angle_alpha 90.00
_cell_angle_beta 90.00
_cell_angle_gamma 90.00
_space_group_name_H-M_alt 'P 1'
_space_group_IT_number 1
loop_
_space_group_symop_operation_xyz
'x,y,z'
loop_
_atom_site_label
_atom_site_type_symbol
_atom_site_fract_x
_atom_site_fract_y
_atom_site_fract_z
La1 La 0.000 0.000 0.000
La2 La 0.500 0.500 0.000
Co1 Co 0.000 0.500 0.500
Sc1 Sc 0.500 0.000 0.500
```

Computed properties:
Space-group type: No. 123
DFT total energy (eV per atom): -5.619
Energy above the most stable polymorph in this dataset (kJ/mol of atoms): 22.10

---

Entry 10:
This record from the Alexandria database describes a relaxed LaSc2Co crystal. The functional is GGA-PBE.

The structure in CIF format:
```
data_LaSc2Co
_cell_length_a 5.985
_cell_length_b 5.985
_cell_length_c 5.985
_cell_angle_alpha 140.01
_cell_angle_beta 140.01
_cell_angle_gamma 57.84
_space_group_name_H-M_alt 'P 1'
_space_group_IT_number 1
loop_
_space_group_symop_operation_xyz
'x,y,z'
loop_
_atom_site_label
_atom_site_type_symbol
_atom_site_fract_x
_atom_site_fract_y
_atom_site_fract_z
Co1 Co 0.750 0.250 0.500
Sc1 Sc 0.000 0.000 0.000
Sc2 Sc 0.500 0.500 0.000
La1 La 0.250 0.750 0.500
```

Computed properties:
Space-group type: No. 139
DFT total energy (eV per atom): -5.965
Energy above the most stable polymorph in this dataset (kJ/mol of atoms): 33.94

---

Entry 11:
This record from the Alexandria database describes a relaxed LaScCo10 crystal. The functional is GGA-PBE.

The structure in CIF format:
```
data_LaScCo10
_cell_length_a 3.979
_cell_length_b 4.869
_cell_length_c 8.566
_cell_angle_alpha 90.00
_cell_angle_beta 90.00
_cell_angle_gamma 90.00
_space_group_name_H-M_alt 'P 1'
_space_group_IT_number 1
loop_
_space_group_symop_operation_xyz
'x,y,z'
loop_
_atom_site_label
_atom_site_type_symbol
_atom_site_fract_x
_atom_site_fract_y
_atom_site_fract_z
Sc1 Sc 0.000 0.500 0.500
Co1 Co 0.500 0.257 0.739
Co2 Co 0.500 0.257 0.261
Co3 Co 0.500 0.743 0.739
Co4 Co 0.000 0.000 0.345
Co5 Co 0.000 0.500 0.192
Co6 Co 0.000 0.000 0.655
Co7 Co 0.500 0.000 0.500
Co8 Co 0.500 0.743 0.261
Co9 Co 0.500 0.500 0.000
Co10 Co 0.000 0.500 0.808
La1 La 0.000 0.000 0.000
```

Computed properties:
Space-group type: No. 47
DFT total energy (eV per atom): -6.925

---

Entry 12:
This record from the Alexandria database describes a relaxed LaSc2Co crystal. The functional is GGA-PBE.

The structure in CIF format:
```
data_LaSc2Co
_cell_length_a 4.343
_cell_length_b 3.579
_cell_length_c 6.170
_cell_angle_alpha 72.38
_cell_angle_beta 90.00
_cell_angle_gamma 90.00
_space_group_name_H-M_alt 'P 1'
_space_group_IT_number 1
loop_
_space_group_symop_operation_xyz
'x,y,z'
loop_
_atom_site_label
_atom_site_type_symbol
_atom_site_fract_x
_atom_site_fract_y
_atom_site_fract_z
La1 La 0.500 0.750 0.750
Sc1 Sc 0.000 0.411 0.453
Sc2 Sc 0.000 0.089 0.047
Co1 Co 0.500 0.250 0.250
```

Computed properties:
Space-group type: No. 10
DFT total energy (eV per atom): -6.060
Energy above the most stable polymorph in this dataset (kJ/mol of atoms): 24.76

---

Entry 13:
This record from the Alexandria database describes a relaxed La2ScCo crystal. The functional is GGA-PBE.

The structure in CIF format:
```
data_La2ScCo
_cell_length_a 5.133
_cell_length_b 5.133
_cell_length_c 5.133
_cell_angle_alpha 60.00
_cell_angle_beta 60.00
_cell_angle_gamma 60.00
_space_group_name_H-M_alt 'P 1'
_space_group_IT_number 1
loop_
_space_group_symop_operation_xyz
'x,y,z'
loop_
_atom_site_label
_atom_site_type_symbol
_atom_site_fract_x
_atom_site_fract_y
_atom_site_fract_z
La1 La 0.000 0.000 0.000
La2 La 0.250 0.250 0.250
Co1 Co 0.500 0.500 0.500
Sc1 Sc 0.750 0.750 0.750
```

Computed properties:
Space-group type: No. 216
DFT total energy (eV per atom): -5.525
Energy above the most stable polymorph in this dataset (kJ/mol of atoms): 31.16

---

Entry 14:
This record from the Alexandria database describes a relaxed LaSc2Co crystal. The functional is GGA-PBE.

The structure in CIF format:
```
data_LaSc2Co
_cell_length_a 6.692
_cell_length_b 6.692
_cell_length_c 7.486
_cell_angle_alpha 63.45
_cell_angle_beta 63.45
_cell_angle_gamma 90.00
_space_group_name_H-M_alt 'P 1'
_space_group_IT_number 1
loop_
_space_group_symop_operation_xyz
'x,y,z'
loop_
_atom_site_label
_atom_site_type_symbol
_atom_site_fract_x
_atom_site_fract_y
_atom_site_fract_z
La1 La 0.750 0.250 0.500
La2 La 0.000 0.000 0.000
Sc1 Sc 0.375 0.625 0.750
Sc2 Sc 0.375 0.625 0.250
Sc3 Sc 0.375 0.125 0.250
Sc4 Sc 0.875 0.625 0.750
Co1 Co 0.250 0.750 0.500
Co2 Co 0.500 0.500 0.000
```

Computed properties:
Space-group type: No. 141
DFT total energy (eV per atom): -5.527
Energy above the most stable polymorph in this dataset (kJ/mol of atoms): 76.23